{"formula": "Mn6PbO12", "functional": "GGA+U", "state": "relaxed", "total_energy_ev_per_cell": -132.16, "n_ef_per_ev_atom": 0.3357, "space_group": "No. 148", "m_tot_mub_per_fu": 22.00, "volume_a3_per_atom": 11.124, "cell": [[4.671, 2.697, 2.796], [-4.671, 2.697, 2.796], [0.000, -5.394, 2.796]], "species": ["Mn", "Mn", "Mn", "Mn", "Mn", "Mn", "Pb", "O", "O", "O", "O", "O", "O", "O", "O", "O", "O", "O", "O"], "frac_coords": [[0.105, 0.638, 0.835], [0.165, 0.895, 0.362], [0.362, 0.165, 0.895], [0.638, 0.835, 0.105], [0.835, 0.105, 0.638], [0.895, 0.362, 0.165], [0.500, 0.500, 0.500], [0.083, 0.901, 0.682], [0.099, 0.318, 0.917], [0.168, 0.565, 0.374], [0.318, 0.917, 0.099], [0.374, 0.168, 0.565], [0.435, 0.626, 0.832], [0.565, 0.374, 0.168], [0.626, 0.832, 0.435], [0.682, 0.083, 0.901], [0.832, 0.435, 0.626], [0.901, 0.682, 0.083], [0.917, 0.099, 0.318]]}